Entry from OQMD: Li4InCu2Ge after structural relaxation (PBE).

abc: 4.289 4.289 6.240
angles: 90.00 90.00 90.00
Positions (direct):
Li: 0.000 0.000 0.000
Li: 0.000 0.500 0.727
Li: 0.500 0.000 0.273
Li: 0.500 0.500 0.500
In: 0.500 0.500 0.000
Cu: 0.000 0.500 0.274
Cu: 0.500 0.000 0.726
Ge: 0.000 0.000 0.500

Crystal system = tetragonal
Electronic total energy = -3.0715 eV per atom